This record from the Alexandria database describes a geometry-optimized AlHgPd2 structure. The functional is PBE.

Cell lengths 4.0532, 4.0532, 9.4594 Å; angles 77.63, 77.63, 90.00 degrees
Positions (direct):
Pd  0.8750  0.8536  0.7500
Pd  0.6036  0.1250  0.2500
Pd  0.3750  0.3964  0.7500
Pd  0.1464  0.6250  0.2500
Hg  0.0000  0.0000  0.0000
Hg  0.7500  0.2500  0.5000
Al  0.5000  0.5000  0.0000
Al  0.2500  0.7500  0.5000

Total energy: -3.719 eV per atom
Magnetic moment: 0.00 μB/f.u.
Space group: No. 122